[1]
# K2Na2InSb2 (GGA-PBE, relaxed)
# - Total DFT energy (no corrections): -2.519 eV per atom
# - Formation energy without anion corrections: -260 meV per atom
data_K2Na2InSb2
_symmetry_space_group_name_H-M 'C 1 2/m 1'
_symmetry_Int_Tables_number 12
_symmetry_space_group_name_Hall '-C 2y'
_cell_length_a 12.6326
_cell_length_b 4.7764
_cell_length_c 9.4890
_cell_angle_alpha 90.00
_cell_angle_beta 115.38
_cell_angle_gamma 90.00
loop_
_atom_site_label
_atom_site_fract_x
_atom_site_fract_y
_atom_site_fract_z
K1 0.1438 0.0000 0.3152
Na1 0.1489 0.5000 0.9263
In1 0.0000 0.5000 0.5000
Sb1 0.1552 0.0000 0.7133

[2]
# NaInSn (GGA-PBE, relaxed)
# - Total DFT energy (no corrections): -2.809 eV per atom
data_NaInSn
_symmetry_space_group_name_H-M 'P -1'
_symmetry_Int_Tables_number 2
_symmetry_space_group_name_Hall '-P 1'
_cell_length_a 4.6510
_cell_length_b 5.8072
_cell_length_c 6.8302
_cell_angle_alpha 71.62
_cell_angle_beta 89.87
_cell_angle_gamma 66.69
loop_
_atom_site_label
_atom_site_fract_x
_atom_site_fract_y
_atom_site_fract_z
Na1 0.1670 0.1660 0.3310
In1 0.1590 0.1777 0.8307
Sn1 0.5000 0.5000 0.0000
Sn2 0.5000 0.5000 0.5000

[3]
# SrCaTe4 (GGA-PBE, relaxed)
# - Total DFT energy (no corrections): -3.796 eV per atom
# - Formation energy without anion corrections: -1087 meV per atom
data_SrCaTe4
_symmetry_space_group_name_H-M 'P 4/n b m'
_symmetry_Int_Tables_number 125
_cell_length_a 6.9586
_cell_length_b 6.9586
_cell_length_c 8.3138
_cell_angle_alpha 90.00
_cell_angle_beta 90.00
_cell_angle_gamma 90.00
loop_
_symmetry_equiv_pos_as_xyz
'x,y,z'
'-x,-y,-z'
'-y+1/2,x,z'
'y+1/2,-x,-z'
'-x+1/2,-y+1/2,z'
'x+1/2,y+1/2,-z'
'y,-x+1/2,z'
'-y,x+1/2,-z'
'x,-y+1/2,-z'
'-x,y+1/2,z'
'-y+1/2,-x+1/2,-z'
'y+1/2,x+1/2,z'
'-x+1/2,y,-z'
'x+1/2,-y,z'
'y,x,-z'
'-y,-x,z'
loop_
_atom_site_label
_atom_site_fract_x
_atom_site_fract_y
_atom_site_fract_z
Sr1 0.2500 0.2500 0.0000
Ca1 0.2500 0.2500 0.5000
Te1 0.1063 0.6063 0.2617